! NaLi2PdPb (GGA-PBE, relaxed); values from VASP
&SYSTEM
  ibrav = 0, nat = 5, ntyp = 4
/
ATOMIC_SPECIES
Na 22.99 Na.upf
Li 6.94 Li.upf
Pd 106.42 Pd.upf
Pb 207.20 Pb.upf
ATOMIC_POSITIONS crystal
Na 0.000 0.000 0.000
Li 0.000 0.500 0.500
Li 0.500 0.000 0.500
Pd 0.500 0.500 0.500
Pb 0.500 0.500 0.000
CELL_PARAMETERS angstrom
4.918 0.000 0.000
0.000 4.918 0.000
0.000 0.000 5.214
! E_tot = -14.966 eV per cell
! energy of formation from the pure elements = -89 kJ/mol of formula units
! total moment = 0.000 μB/atom